[1]
The following is a PBE calculation of a geometry-optimized Tm8CoAg2 structure, from the Alexandria database.

Lattice parameters (Å, degrees): 8.6198 8.6198 5.8969 103.20 103.20 129.27
Atoms (fractional coordinates):
Tm 0.0000 0.0000 0.0000
Tm 0.0732 0.4630 0.2086
Tm 0.1092 0.8870 0.5100
Tm 0.4180 0.6444 0.8744
Tm 0.4630 0.0732 0.2086
Tm 0.5406 0.5406 0.3694
Tm 0.6444 0.4180 0.8744
Tm 0.8870 0.1092 0.5100
Co 0.2713 0.2713 0.5043
Ag 0.5579 0.9891 0.7100
Ag 0.9891 0.5579 0.7100

## Properties
The energy above the lowest structure with this stoichiometry is 25.8 meV/atom. The symmetry is Cm (8). Its energy relative to the elements is -120 meV/atom.



[2]
The following is a PBE calculation of a geometry-optimized Th2Ta3Si4 structure, from the Alexandria database.

Lattice parameters (Å, degrees): 7.1818 7.1819 7.0564 90.00 109.36 90.00
Atoms (fractional coordinates):
Th 0.1890 0.1704 0.0620
Th 0.1890 0.3296 0.5620
Th 0.8110 0.6704 0.4380
Th 0.8110 0.8296 0.9380
Ta 0.2551 0.6675 0.2485
Ta 0.2551 0.8325 0.7485
Ta 0.5000 0.0000 0.5000
Ta 0.5000 0.5000 0.0000
Ta 0.7449 0.1675 0.2515
Ta 0.7449 0.3325 0.7515
Si 0.0894 0.5454 0.8675
Si 0.0894 0.9546 0.3675
Si 0.4970 0.6283 0.6277
Si 0.4970 0.8717 0.1277
Si 0.5030 0.1283 0.8723
Si 0.5030 0.3717 0.3723
Si 0.9106 0.0454 0.6325
Si 0.9106 0.4546 0.1325

## Properties
The calculation puts the uncorrected formation energy at -0.667 eV per atom. The symmetry is P2_1/c (14).



[3]
The following is a PBE calculation of a geometry-optimized La3OsBr structure, from the Alexandria database.

Lattice parameters (Å, degrees): 5.6561 5.6561 5.6561 90.00 90.00 90.00
Atoms (fractional coordinates):
La 0.0000 0.0000 0.5000
La 0.0000 0.5000 0.0000
La 0.5000 0.0000 0.0000
Os 0.0000 0.0000 0.0000
Br 0.5000 0.5000 0.5000

## Properties
The energy above the lowest structure with this stoichiometry is 278.3 meV/atom. The calculation puts the uncorrected formation energy at -0.302 eV per atom. The symmetry is Pm-3m (221).



[4]
The following is a PBE calculation of a geometry-optimized NbCd2SnHg structure, from the Alexandria database.

Lattice parameters (Å, degrees): 5.3933 5.3933 5.5592 90.00 90.00 90.00
Atoms (fractional coordinates):
Nb 0.0000 0.0000 0.0000
Cd 0.0000 0.5000 0.5000
Cd 0.5000 0.0000 0.5000
Sn 0.5000 0.5000 0.5000
Hg 0.5000 0.5000 0.0000

## Properties
The symmetry is P4/mmm (123). Its energy relative to the elements is 1193 meV/atom.



[5]
The following is a PBE calculation of a geometry-optimized DyThFeI structure, from the Alexandria database.

Lattice parameters (Å, degrees): 3.9848 3.9936 8.3344 103.37 90.45 119.74
Atoms (fractional coordinates):
Dy 0.0000 0.0000 0.0000
Th 0.2210 0.4210 0.6504
Fe 0.5967 0.2078 0.8000
I 0.7702 0.5311 0.3061

## Properties
The calculation puts the uncorrected formation energy at -0.439 eV per atom. The symmetry is P1 (1).



[6]
The following is a PBE calculation of a geometry-optimized Li7Cd2Pt structure, from the Alexandria database.

Lattice parameters (Å, degrees): 6.7842 6.7842 6.7842 60.00 60.00 60.00
Atoms (fractional coordinates):
Li 0.0000 0.0000 0.0000
Li 0.2561 0.2561 0.7439
Li 0.2561 0.7439 0.2561
Li 0.2561 0.7439 0.7439
Li 0.7439 0.2561 0.2561
Li 0.7439 0.2561 0.7439
Li 0.7439 0.7439 0.2561
Cd 0.2500 0.2500 0.2500
Cd 0.7500 0.7500 0.7500
Pt 0.5000 0.5000 0.5000

## Properties
The energy above the lowest structure with this stoichiometry is 269.4 meV/atom. The symmetry is Fm-3m (225). Its energy relative to the elements is 68 meV/atom.



[7]
The following is a PBE calculation of a geometry-optimized PmY2AlO structure, from the Alexandria database.

Lattice parameters (Å, degrees): 4.7410 4.7410 4.8984 90.00 90.00 90.00
Atoms (fractional coordinates):
Pm 0.0000 0.0000 0.0000
Y 0.0000 0.5000 0.5000
Y 0.5000 0.0000 0.5000
Al 0.5000 0.5000 0.0000
O 0.0000 0.0000 0.5000

## Properties
The calculation puts the uncorrected formation energy at -1.355 eV per atom. The symmetry is P4/mmm (123).



[8]
The following is a PBE calculation of a geometry-optimized Nd3B7W structure, from the Alexandria database.

Lattice parameters (Å, degrees): 8.4830 8.4830 9.7085 90.00 90.00 155.77
Atoms (fractional coordinates):
Nd 0.1057 0.8943 0.5626
Nd 0.1057 0.8943 0.9374
Nd 0.2448 0.7552 0.2500
Nd 0.7552 0.2448 0.7500
Nd 0.8943 0.1057 0.0626
Nd 0.8943 0.1057 0.4374
B 0.2736 0.7264 0.5311
B 0.2736 0.7264 0.9689
B 0.3649 0.6351 0.6487
B 0.3649 0.6351 0.8513
B 0.4651 0.5349 0.2500
B 0.4770 0.5230 0.5949
B 0.4770 0.5230 0.9051
B 0.5230 0.4770 0.0949
B 0.5230 0.4770 0.4051
B 0.5349 0.4651 0.7500
B 0.6351 0.3649 0.1487
B 0.6351 0.3649 0.3513
B 0.7264 0.2736 0.0311
B 0.7264 0.2736 0.4689
W 0.0561 0.9439 0.2500
W 0.9439 0.0561 0.7500

## Properties
The symmetry is Cmcm (63). Its energy relative to the elements is -384 meV/atom.



| no. | VASP energy (eV for the cell shown) |
| --- | --- |
| 1 | -49.90 |
| 2 | -156.19 |
| 3 | -29.20 |
| 4 | -10.24 |
| 5 | -23.79 |
| 6 | -20.59 |
| 7 | -33.16 |
| 8 | -156.44 |